Entry 1:
First-principles (PBE-GGA) data for a relaxed SeBrCl2 crystal, as listed in Alexandria.

Calculated values
Total magnetic moment   0.000 μB per atom
Polymorph energy (0 for the lowest one)   125 meV/atom
Energy relative to the elements, uncorrected   -0.065 eV per atom

Lattice parameters (Å, degrees): 3.8440 5.2679 13.0552 90.00 90.00 90.00
Fractional coordinates of all 8 atoms:
1 Se 0.0000 0.0000 0.0000
2 Se 0.0000 0.5000 0.5000
3 Br 0.5000 0.0000 0.1370
4 Br 0.5000 0.5000 0.6370
5 Cl 0.0000 0.0000 0.4949
6 Cl 0.0000 0.5000 0.9949
7 Cl 0.5000 0.0000 0.8751
8 Cl 0.5000 0.5000 0.3751

***

Entry 2:
First-principles (PBE-GGA) data for a relaxed SeBrCl2 crystal, as listed in Alexandria.

Calculated values
Total magnetic moment   0.000 μB per atom
Polymorph energy (0 for the lowest one)   546 meV/atom
Energy relative to the elements, uncorrected   0.356 eV per atom

Lattice parameters (Å, degrees): 3.7921 3.8101 8.7140 90.00 90.00 90.00
Fractional coordinates of all 4 atoms:
1 Se 0.0000 0.0000 0.0000
2 Br 0.5000 0.0000 0.5000
3 Cl 0.0000 0.5000 0.5000
4 Cl 0.5000 0.5000 0.0000

***

Entry 3:
First-principles (PBE-GGA) data for a relaxed SeBrCl2 crystal, as listed in Alexandria.

Calculated values
Total magnetic moment   0.001 μB per atom
Polymorph energy (0 for the lowest one)   250 meV/atom
Energy relative to the elements, uncorrected   0.060 eV per atom

Lattice parameters (Å, degrees): 3.3242 7.0413 10.4214 90.00 90.00 90.00
Fractional coordinates of all 8 atoms:
1 Se 0.0000 0.0000 0.0000
2 Se 0.5000 0.5000 0.5000
3 Br 0.0000 0.0000 0.5000
4 Br 0.5000 0.5000 0.0000
5 Cl 0.0000 0.5000 0.3301
6 Cl 0.0000 0.5000 0.6699
7 Cl 0.5000 0.0000 0.1699
8 Cl 0.5000 0.0000 0.8301

***

Entry 4:
First-principles (PBE-GGA) data for a relaxed SeBrCl2 crystal, as listed in Alexandria.

Calculated values
Total magnetic moment   0.027 μB per atom
Polymorph energy (0 for the lowest one)   693 meV/atom
Energy relative to the elements, uncorrected   0.502 eV per atom

Lattice parameters (Å, degrees): 3.2216 3.2216 34.4711 90.00 90.00 120.00
Fractional coordinates of all 12 atoms:
1 Se 0.0000 0.0000 0.0000
2 Se 0.3333 0.6667 0.6667
3 Se 0.6667 0.3333 0.3333
4 Br 0.0000 0.0000 0.5000
5 Br 0.3333 0.6667 0.1667
6 Br 0.6667 0.3333 0.8333
7 Cl 0.0000 0.0000 0.2737
8 Cl 0.0000 0.0000 0.7263
9 Cl 0.3333 0.6667 0.3930
10 Cl 0.3333 0.6667 0.9404
11 Cl 0.6667 0.3333 0.0596
12 Cl 0.6667 0.3333 0.6070

***

Entry 5:
First-principles (PBE-GGA) data for a relaxed SeBr2Cl crystal, as listed in Alexandria.

Calculated values
Total magnetic moment   0.253 μB per atom
Polymorph energy (0 for the lowest one)   0 meV/atom
Energy relative to the elements, uncorrected   -0.060 eV per atom

Lattice parameters (Å, degrees): 7.0935 12.8021 4.7388 90.00 124.74 90.00
Fractional coordinates of all 8 atoms:
1 Se 0.0000 0.0000 0.0000
2 Se 0.5000 0.5000 0.0000
3 Br 0.1194 0.1605 0.8696
4 Br 0.1194 0.8395 0.8696
5 Br 0.6194 0.3395 0.8696
6 Br 0.6194 0.6605 0.8696
7 Cl 0.1435 0.5000 0.8951
8 Cl 0.6435 0.0000 0.8951

***

Entry 6:
First-principles (PBE-GGA) data for a relaxed Se2BrCl crystal, as listed in Alexandria.

Calculated values
Total magnetic moment   0.000 μB per atom
Energy relative to the elements, uncorrected   0.782 eV per atom

Lattice parameters (Å, degrees): 7.0597 7.0597 7.0597 90.00 90.00 90.00
Fractional coordinates of all 16 atoms:
1 Se 0.2500 0.2500 0.2500
2 Se 0.2500 0.2500 0.7500
3 Se 0.2500 0.7500 0.2500
4 Se 0.2500 0.7500 0.7500
5 Se 0.7500 0.2500 0.2500
6 Se 0.7500 0.2500 0.7500
7 Se 0.7500 0.7500 0.2500
8 Se 0.7500 0.7500 0.7500
9 Br 0.0000 0.0000 0.0000
10 Br 0.0000 0.5000 0.5000
11 Br 0.5000 0.0000 0.5000
12 Br 0.5000 0.5000 0.0000
13 Cl 0.0000 0.0000 0.5000
14 Cl 0.0000 0.5000 0.0000
15 Cl 0.5000 0.0000 0.0000
16 Cl 0.5000 0.5000 0.5000

***

Entry 7:
First-principles (PBE-GGA) data for a relaxed SeBr2Cl crystal, as listed in Alexandria.

Calculated values
Total magnetic moment   0.000 μB per atom
Polymorph energy (0 for the lowest one)   644 meV/atom
Energy relative to the elements, uncorrected   0.584 eV per atom

Lattice parameters (Å, degrees): 3.5689 3.5689 7.3938 90.00 90.00 90.00
Fractional coordinates of all 4 atoms:
1 Se 0.0000 0.0000 0.0000
2 Br 0.5000 0.5000 0.2217
3 Br 0.5000 0.5000 0.7783
4 Cl 0.0000 0.0000 0.5000

***

Entry 8:
First-principles (PBE-GGA) data for a relaxed SeBr2Cl crystal, as listed in Alexandria.

Calculated values
Total magnetic moment   0.102 μB per atom
Polymorph energy (0 for the lowest one)   202 meV/atom
Energy relative to the elements, uncorrected   0.142 eV per atom

Lattice parameters (Å, degrees): 3.6140 7.3590 9.1944 90.00 90.00 90.00
Fractional coordinates of all 8 atoms:
1 Se 0.0000 0.0000 0.0000
2 Se 0.5000 0.5000 0.5000
3 Br 0.0000 0.5000 0.2981
4 Br 0.0000 0.5000 0.7019
5 Br 0.5000 0.0000 0.2019
6 Br 0.5000 0.0000 0.7981
7 Cl 0.0000 0.0000 0.5000
8 Cl 0.5000 0.5000 0.0000

***

Entry 9:
First-principles (PBE-GGA) data for a relaxed Se2BrCl crystal, as listed in Alexandria.

Calculated values
Total magnetic moment   0.000 μB per atom
Energy relative to the elements, uncorrected   0.386 eV per atom

Lattice parameters (Å, degrees): 3.7964 8.4349 7.6286 90.00 90.00 90.00
Fractional coordinates of all 8 atoms:
1 Se 0.0000 0.0000 0.2449
2 Se 0.0000 0.0000 0.7551
3 Se 0.5000 0.5000 0.2449
4 Se 0.5000 0.5000 0.7551
5 Br 0.0000 0.5000 0.5000
6 Br 0.5000 0.0000 0.5000
7 Cl 0.0000 0.5000 0.0000
8 Cl 0.5000 0.0000 0.0000

***

Entry 10:
First-principles (PBE-GGA) data for a relaxed Se2BrCl crystal, as listed in Alexandria.

Calculated values
Total magnetic moment   0.000 μB per atom
Energy relative to the elements, uncorrected   0.394 eV per atom

Lattice parameters (Å, degrees): 3.8495 7.5512 8.4232 90.00 90.00 90.00
Fractional coordinates of all 8 atoms:
1 Se 0.0000 0.2459 0.0000
2 Se 0.0000 0.7541 0.0000
3 Se 0.5000 0.2541 0.5000
4 Se 0.5000 0.7459 0.5000
5 Br 0.0000 0.0000 0.5000
6 Br 0.5000 0.5000 0.0000
7 Cl 0.0000 0.5000 0.5000
8 Cl 0.5000 0.0000 0.0000

***

Entry 11:
First-principles (PBE-GGA) data for a relaxed Se2BrCl crystal, as listed in Alexandria.

Calculated values
Total magnetic moment   0.000 μB per atom
Energy relative to the elements, uncorrected   0.608 eV per atom

Lattice parameters (Å, degrees): 7.9001 7.9001 6.2700 90.00 90.00 90.00
Fractional coordinates of all 16 atoms:
1 Se 0.2459 0.7500 0.1250
2 Se 0.2500 0.2459 0.8750
3 Se 0.2500 0.2541 0.3750
4 Se 0.2541 0.7500 0.6250
5 Se 0.7459 0.2500 0.6250
6 Se 0.7500 0.7459 0.3750
7 Se 0.7500 0.7541 0.8750
8 Se 0.7541 0.2500 0.1250
9 Br 0.0000 0.0000 0.0000
10 Br 0.0000 0.5000 0.2500
11 Br 0.5000 0.0000 0.7500
12 Br 0.5000 0.5000 0.5000
13 Cl 0.0000 0.0000 0.5000
14 Cl 0.0000 0.5000 0.7500
15 Cl 0.5000 0.0000 0.2500
16 Cl 0.5000 0.5000 0.0000

***

Entry 12:
First-principles (PBE-GGA) data for a relaxed Se2BrCl crystal, as listed in Alexandria.

Calculated values
Total magnetic moment   0.000 μB per atom
Energy relative to the elements, uncorrected   0.701 eV per atom

Lattice parameters (Å, degrees): 4.4888 4.4888 8.5646 90.00 90.00 90.00
Fractional coordinates of all 8 atoms:
1 Se 0.0000 0.5000 0.2500
2 Se 0.0000 0.5000 0.7500
3 Se 0.5000 0.0000 0.2500
4 Se 0.5000 0.0000 0.7500
5 Br 0.0000 0.0000 0.0000
6 Br 0.5000 0.5000 0.5000
7 Cl 0.0000 0.0000 0.5000
8 Cl 0.5000 0.5000 0.0000

***

Entry 13:
First-principles (PBE-GGA) data for a relaxed SeBrCl2 crystal, as listed in Alexandria.

Calculated values
Total magnetic moment   0.253 μB per atom
Polymorph energy (0 for the lowest one)   443 meV/atom
Energy relative to the elements, uncorrected   0.253 eV per atom

Lattice parameters (Å, degrees): 7.9364 7.9364 11.3253 90.00 90.00 90.00
Fractional coordinates of all 16 atoms:
1 Se 0.0000 0.2500 0.3750
2 Se 0.0000 0.7500 0.6250
3 Se 0.5000 0.2500 0.1250
4 Se 0.5000 0.7500 0.8750
5 Br 0.0000 0.2500 0.8750
6 Br 0.0000 0.7500 0.1250
7 Br 0.5000 0.2500 0.6250
8 Br 0.5000 0.7500 0.3750
9 Cl 0.0000 0.0000 0.5000
10 Cl 0.0000 0.5000 0.5000
11 Cl 0.2500 0.2500 0.2500
12 Cl 0.2500 0.7500 0.7500
13 Cl 0.5000 0.0000 0.0000
14 Cl 0.5000 0.5000 0.0000
15 Cl 0.7500 0.2500 0.2500
16 Cl 0.7500 0.7500 0.7500

***

Entry 14:
First-principles (PBE-GGA) data for a relaxed SeBr2Cl crystal, as listed in Alexandria.

Calculated values
Total magnetic moment   0.000 μB per atom
Polymorph energy (0 for the lowest one)   38 meV/atom
Energy relative to the elements, uncorrected   -0.022 eV per atom

Lattice parameters (Å, degrees): 5.2908 3.9237 7.2814 90.00 111.17 90.00
Fractional coordinates of all 4 atoms:
1 Se 0.0000 0.0000 0.0000
2 Br 0.1310 0.5000 0.2617
3 Br 0.8690 0.5000 0.7383
4 Cl 0.5000 0.0000 0.0000

***

Entry 15:
First-principles (PBE-GGA) data for a relaxed SeBr2Cl crystal, as listed in Alexandria.

Calculated values
Total magnetic moment   0.069 μB per atom
Polymorph energy (0 for the lowest one)   341 meV/atom
Energy relative to the elements, uncorrected   0.281 eV per atom

Lattice parameters (Å, degrees): 5.2530 17.4939 2.9415 90.00 90.00 90.00
Fractional coordinates of all 8 atoms:
1 Se 0.0000 0.0000 0.0000
2 Se 0.5000 0.5000 0.0000
3 Br 0.2500 0.2500 0.5000
4 Br 0.2500 0.7500 0.5000
5 Br 0.7500 0.2500 0.5000
6 Br 0.7500 0.7500 0.5000
7 Cl 0.0000 0.5000 0.0000
8 Cl 0.5000 0.0000 0.0000

***

| no. | volume (Å³ per cell) |
| --- | --- |
| 1 | 264.4 |
| 2 | 125.9 |
| 3 | 243.9 |
| 4 | 309.8 |
| 5 | 353.6 |
| 6 | 351.8 |
| 7 | 94.2 |
| 8 | 244.5 |
| 9 | 244.3 |
| 10 | 244.9 |
| 11 | 391.3 |
| 12 | 172.6 |
| 13 | 713.3 |
| 14 | 141.0 |
| 15 | 270.3 |